Record 1
Ca2PdAuN | PBE-GGA | optimized geometry

- SG = P4/mmm, No. 123
- ΔE_f (raw) (kJ per mole of atoms) = -64.5
- total moment (μB per formula unit) = 0.00

Lattice parameters (Å, degrees): 4.946 4.946 4.005 90.00 90.00 90.00
Sites, in units of the cell vectors:
Ca 0.000 0.500 0.000
Ca 0.500 0.000 0.000
Pd 0.000 0.000 0.500
Au 0.500 0.500 0.500
N 0.000 0.000 0.000



Record 2
La3Ga2Ru2 | PBE-GGA | optimized geometry

- SG = Pbcm, No. 57
- total moment (μB per formula unit) = 0.00
- VASP energy (eV per atom) = -6.13

Lattice parameters (Å, degrees): 5.796 8.275 13.801 90.00 90.00 90.00
Sites, in units of the cell vectors:
La 0.129 0.226 0.250
La 0.129 0.274 0.750
La 0.340 0.590 0.093
La 0.340 0.590 0.407
La 0.340 0.910 0.593
La 0.340 0.910 0.907
La 0.660 0.090 0.093
La 0.660 0.090 0.407
La 0.660 0.410 0.593
La 0.660 0.410 0.907
La 0.871 0.726 0.250
La 0.871 0.774 0.750
Ga 0.120 0.250 0.000
Ga 0.120 0.250 0.500
Ga 0.360 0.617 0.750
Ga 0.360 0.883 0.250
Ga 0.640 0.117 0.750
Ga 0.640 0.383 0.250
Ga 0.880 0.750 0.000
Ga 0.880 0.750 0.500
Ru 0.151 0.529 0.590
Ru 0.151 0.529 0.910
Ru 0.151 0.971 0.090
Ru 0.151 0.971 0.410
Ru 0.849 0.029 0.590
Ru 0.849 0.029 0.910
Ru 0.849 0.471 0.090
Ru 0.849 0.471 0.410